DFT (GGA-PBE) results for a geometry-optimized YAl4Ir structure.

a b c (Å): 5.2939 5.2939 5.2939
angles (deg): 60.00 60.00 60.00
With the nearest neighbours (Å) after each atom.
Element x y z (fractional)
Y: 0.0000 0.0000 0.0000  12 Al 3.10, 4 Ir 3.24
Al: 0.8775 0.3742 0.3742  6 Al 2.63-2.66
Al: 0.3742 0.3742 0.8775  6 Al 2.63-2.66
Al: 0.3742 0.8775 0.3742  6 Al 2.63-2.66
Al: 0.3742 0.3742 0.3742  6 Al 2.63-2.66
Ir: 0.7500 0.7500 0.7500  12 Al 3.11, 4 Y 3.24

Properties
Calculated volume in A^3/atom: 17.49
Density of states at the Fermi level in states/eV per cell: 5.04
Density in g/cm³: 6.16
ΔH_f (0 K) in eV/f.u.: -0.91